[1]
PmReBrO4 | GGA-PBE | relaxed

Unit cell a=10.8657 b=7.2564 c=7.1115 alpha=90.00 beta=104.94 gamma=90.00
Space group C2/m (No. 12)
One atom of each set of equivalent atoms:
Pm1 0.2262 0.0000 0.1073 (multiplicity 4)
Re1 0.1315 0.5000 0.2790 (multiplicity 4)
Br1 0.0095 0.0000 0.7541 (multiplicity 4)
O1 0.0358 0.5000 0.7876 (multiplicity 4)
O2 0.1975 0.3235 0.1429 (multiplicity 8)
O3 0.2062 0.5000 0.5296 (multiplicity 4)

## Properties
ρ	5.8	g cm⁻³
energy	-7.594	eV/atom
DOS(E_F)	0.3760	states/eV per atom
formation energy (no corrections)	-2065	meV/atom
volume	19.3	Å³/atom
total magnetization	1.00	μB per formula unit

[2]
TaInRh2 | GGA-PBE | relaxed

Unit cell a=4.2605 b=4.2605 c=3.6518 alpha=90.00 beta=90.00 gamma=90.00
Space group P4/mmm (No. 123)
One atom of each set of equivalent atoms:
Ta1 0.0000 0.0000 0.0000 (multiplicity 1)
In1 0.5000 0.5000 0.0000 (multiplicity 1)
Rh1 0.0000 0.5000 0.5000 (multiplicity 2)

## Properties
ρ	12.6	g cm⁻³
energy	-7.586	eV/atom
DOS(E_F)	1.2277	states/eV per atom
volume	16.6	Å³/atom
total magnetization	0.00	μB per formula unit
energy of formation	-262	meV per atom

[3]
LuPuAgSb | GGA-PBE | relaxed

Unit cell a=7.3659 b=7.3659 c=7.3659 alpha=90.00 beta=90.00 gamma=90.00
Space group F-43m (No. 216)
One atom of each set of equivalent atoms:
Lu1 0.0000 0.0000 0.0000 (multiplicity 4)
Pu1 0.0000 0.0000 0.5000 (multiplicity 4)
Ag1 0.2500 0.2500 0.7500 (multiplicity 4)
Sb1 0.2500 0.2500 0.2500 (multiplicity 4)

## Properties
ρ	10.8	g cm⁻³
energy	-6.835	eV/atom
DOS(E_F)	2.6397	states/eV per atom
formation energy (no corrections)	-378	meV/atom
volume	25.0	Å³/atom
total magnetization	6.95	μB per formula unit

[4]
TcRu3Pt | GGA-PBE | relaxed

Unit cell a=5.1818 b=5.1818 c=13.0597 alpha=90.00 beta=90.00 gamma=120.00
Space group R-3m (No. 166, hexagonal axes)
One atom of each set of equivalent atoms:
Tc1 0.0000 0.0000 0.0000 (multiplicity 3)
Ru1 0.0000 0.5000 0.0000 (multiplicity 9)
Pt1 0.0000 0.0000 0.5000 (multiplicity 3)

## Properties
ρ	9.8	g cm⁻³
energy	-7.533	eV/atom
DOS(E_F)	1.9537	states/eV per atom
volume	20.2	Å³/atom
offset from the most stable computed form	0.0000	eV per atom
total magnetization	3.39	μB per formula unit
energy of formation	1314	meV per atom

[5]
Al2Tl5S5 | GGA-PBE | relaxed

Unit cell a=15.4462 b=3.7553 c=11.4812 alpha=90.00 beta=99.94 gamma=90.00
Space group C2/m (No. 12)
One atom of each set of equivalent atoms:
Al1 0.0258 0.0000 0.3078 (multiplicity 4)
Tl1 0.0000 0.5000 0.0000 (multiplicity 2)
Tl2 0.1670 0.5000 0.5587 (multiplicity 4)
Tl3 0.2390 0.5000 0.8571 (multiplicity 4)
S1 0.0000 0.0000 0.5000 (multiplicity 2)
S2 0.0943 0.0000 0.8288 (multiplicity 4)
S3 0.1099 0.5000 0.2914 (multiplicity 4)

## Properties
ρ	6.3	g cm⁻³
energy	-3.900	eV/atom
DOS(E_F)	0.3050	states/eV per atom
formation energy (no corrections)	-570	meV/atom
volume	27.3	Å³/atom
total magnetization	0.00	μB per formula unit

[6]
Ho4SiCSe2 | GGA-PBE | relaxed

Unit cell a=6.8922 b=3.8756 c=7.0115 alpha=90.00 beta=108.64 gamma=90.00
Space group P2/m (No. 10)
One atom of each set of equivalent atoms:
Ho1 0.2185 0.0000 0.2094 (multiplicity 2)
Ho2 0.2364 0.5000 0.7757 (multiplicity 2)
Si1 0.5000 0.0000 0.0000 (multiplicity 1)
C1 0.0000 0.5000 0.0000 (multiplicity 1)
Se1 0.0000 0.0000 0.5000 (multiplicity 1)
Se2 0.5000 0.5000 0.5000 (multiplicity 1)

## Properties
ρ	8.0	g cm⁻³
energy	-6.162	eV/atom
DOS(E_F)	0.1492	states/eV per atom
formation energy (no corrections)	-1171	meV/atom
volume	22.2	Å³/atom
total magnetization	0.00	μB per formula unit